AcPuPd4: relaxed, PBE.

Theoretical density   12.16 g/cm³
Formation enthalpy at 0 K   -0.632 eV/atom
M_tot   0.917 μB per atom
Total DFT energy (no corrections)   -7.167 eV per atom

Cell: 5.5737 5.5737 5.5737 Å, 60.00 60.00 60.00°
Fractional positions:
Ac (0.0000, 0.0000, 0.0000)
Pu (0.7500, 0.7500, 0.7500)
Pd (0.3757, 0.3757, 0.3757)
Pd (0.3757, 0.3757, 0.8728)
Pd (0.3757, 0.8728, 0.3757)
Pd (0.8728, 0.3757, 0.3757)

Ac2PuSb3Pd4: relaxed, PBE.

Theoretical density   9.96 g/cm³
Formation energy without anion corrections   -0.840 eV/atom
M_tot   0.548 μB per atom
Total DFT energy (no corrections)   -6.408 eV per atom

Cell: 4.6504 4.6504 11.4771 Å, 90.00 90.00 90.00°
Fractional positions:
Ac (0.0000, 0.5000, 0.2225)
Ac (0.5000, 0.0000, 0.7775)
Pu (0.0000, 0.0000, 0.5000)
Sb (0.0000, 0.5000, 0.8755)
Sb (0.5000, 0.0000, 0.1245)
Sb (0.5000, 0.5000, 0.5000)
Pd (0.0000, 0.0000, 0.0000)
Pd (0.0000, 0.5000, 0.6459)
Pd (0.5000, 0.0000, 0.3541)
Pd (0.5000, 0.5000, 0.0000)

AcPuSbPd: relaxed, PBE.

Theoretical density   10.29 g/cm³
Formation energy without anion corrections   -0.566 eV/atom
M_tot   1.514 μB per atom
Total DFT energy (no corrections)   -7.505 eV per atom

Cell: 5.4247 5.4247 5.4247 Å, 60.00 60.00 60.00°
Fractional positions:
Ac (0.0000, 0.0000, 0.0000)
Pu (0.5000, 0.5000, 0.5000)
Sb (0.2500, 0.2500, 0.2500)
Pd (0.7500, 0.7500, 0.7500)

AcPu2Sb2Pd2: relaxed, PBE.

Theoretical density   10.94 g/cm³
Formation energy without anion corrections   -0.749 eV/atom
M_tot   1.570 μB per atom
Total DFT energy (no corrections)   -8.092 eV per atom

Cell: 9.5242 9.5242 9.5242 Å, 28.84 28.84 28.84°
Fractional positions:
Ac (0.0000, 0.0000, 0.0000)
Pu (0.1438, 0.1438, 0.1438)
Pu (0.8562, 0.8562, 0.8562)
Sb (0.2600, 0.2600, 0.2600)
Sb (0.7400, 0.7400, 0.7400)
Pd (0.4411, 0.4411, 0.4411)
Pd (0.5589, 0.5589, 0.5589)

Ac2PuPdSe5: relaxed, PBE.

Theoretical density   8.25 g/cm³
Formation energy without anion corrections   -1.553 eV/atom
M_tot   0.512 μB per atom
Total DFT energy (no corrections)   -6.571 eV per atom

Cell: 9.1446 9.1446 12.9137 Å, 90.00 90.00 153.44°
Fractional positions:
Ac (0.1111, 0.8889, 0.5000)
Ac (0.1243, 0.8757, 0.8540)
Ac (0.8757, 0.1243, 0.3540)
Ac (0.8889, 0.1111, 0.0000)
Pu (0.1786, 0.8214, 0.1782)
Pu (0.8214, 0.1786, 0.6782)
Pd (0.4442, 0.5558, 0.5777)
Pd (0.5558, 0.4442, 0.0777)
Se (0.0191, 0.9809, 0.1762)
Se (0.3035, 0.6965, 0.5202)
Se (0.3076, 0.6924, 0.8358)
Se (0.3419, 0.6581, 0.1737)
Se (0.4988, 0.5012, 0.8974)
Se (0.5012, 0.4988, 0.3974)
Se (0.6581, 0.3419, 0.6737)
Se (0.6924, 0.3076, 0.3358)
Se (0.6965, 0.3035, 0.0202)
Se (0.9809, 0.0191, 0.6762)

AcPuSiPd: relaxed, PBE.

Theoretical density   9.98 g/cm³
Formation energy without anion corrections   -0.364 eV/atom
M_tot   1.344 μB per atom
Total DFT energy (no corrections)   -7.628 eV per atom

Cell: 5.2224 5.2224 5.2224 Å, 60.00 60.00 60.00°
Fractional positions:
Ac (0.0000, 0.0000, 0.0000)
Pu (0.5000, 0.5000, 0.5000)
Si (0.7500, 0.7500, 0.7500)
Pd (0.2500, 0.2500, 0.2500)

Ac2PuSn4Pd3: relaxed, PBE.

Theoretical density   9.44 g/cm³
Formation enthalpy at 0 K   -0.634 eV/atom
M_tot   0.546 μB per atom
Total DFT energy (no corrections)   -6.048 eV per atom

Cell: 4.5945 4.5945 12.4342 Å, 90.00 90.00 90.00°
Fractional positions:
Ac (0.0000, 0.5000, 0.2308)
Ac (0.5000, 0.0000, 0.7692)
Pu (0.0000, 0.0000, 0.5000)
Sn (0.0000, 0.0000, 0.0000)
Sn (0.0000, 0.5000, 0.6623)
Sn (0.5000, 0.0000, 0.3377)
Sn (0.5000, 0.5000, 0.0000)
Pd (0.0000, 0.5000, 0.8781)
Pd (0.5000, 0.0000, 0.1219)
Pd (0.5000, 0.5000, 0.5000)

AcPu2Sn2Pd2: relaxed, PBE.

Theoretical density   10.98 g/cm³
Formation enthalpy at 0 K   -0.574 eV/atom
M_tot   1.484 μB per atom
Total DFT energy (no corrections)   -7.883 eV per atom

Cell: 9.5970 9.5970 9.5970 Å, 28.36 28.36 28.36°
Fractional positions:
Ac (0.0000, 0.0000, 0.0000)
Pu (0.1427, 0.1427, 0.1427)
Pu (0.8573, 0.8573, 0.8573)
Sn (0.2584, 0.2584, 0.2584)
Sn (0.7416, 0.7416, 0.7416)
Pd (0.4321, 0.4321, 0.4321)
Pd (0.5679, 0.5679, 0.5679)

Please write out number 7 again, unchanged.
Ac2PuSn4Pd3: relaxed, PBE.

Theoretical density   9.44 g/cm³
Formation enthalpy at 0 K   -0.634 eV/atom
M_tot   0.546 μB per atom
Total DFT energy (no corrections)   -6.048 eV per atom

Cell: 4.5945 4.5945 12.4342 Å, 90.00 90.00 90.00°
Fractional positions:
Ac (0.0000, 0.5000, 0.2308)
Ac (0.5000, 0.0000, 0.7692)
Pu (0.0000, 0.0000, 0.5000)
Sn (0.0000, 0.0000, 0.0000)
Sn (0.0000, 0.5000, 0.6623)
Sn (0.5000, 0.0000, 0.3377)
Sn (0.5000, 0.5000, 0.0000)
Pd (0.0000, 0.5000, 0.8781)
Pd (0.5000, 0.0000, 0.1219)
Pd (0.5000, 0.5000, 0.5000)

Which value of total DFT energy (no corrections) does entry 4 give?
-8.092 eV per atom

Among the records above, which one has the highest theoretical density?
AcPuPd4